Rb4SiO4 | the Alexandria database | PBE | optimized geometry; energy above the most stable polymorph in this dataset = 0 meV/atom; V = 751.12 Å³ per cell; density of states at the Fermi level = 0.0 states/eV/cell; ΔE_f (raw) = -1.94 eV/atom; raw total energy = -186.43 eV/cell
1.0
6.769 0.000 0.000
0.000 10.889 -0.009
0.000 4.170 10.187
O Rb Si
16 16 4
Direct
0.497 0.648 0.218
0.482 0.376 0.298
0.997 0.852 0.782
0.268 0.474 0.902
0.003 0.148 0.218
0.691 0.993 0.351
0.503 0.352 0.782
0.232 0.974 0.902
0.768 0.026 0.098
0.809 0.493 0.351
0.018 0.876 0.298
0.732 0.526 0.098
0.982 0.124 0.702
0.518 0.624 0.702
0.309 0.007 0.649
0.191 0.507 0.649
0.166 0.607 0.370
0.383 0.916 0.153
0.677 0.709 0.420
0.177 0.791 0.580
0.593 0.300 0.065
0.323 0.291 0.580
0.666 0.893 0.630
0.617 0.084 0.847
0.883 0.584 0.847
0.823 0.209 0.420
0.907 0.800 0.065
0.093 0.200 0.935
0.407 0.700 0.935
0.117 0.416 0.153
0.834 0.393 0.630
0.334 0.107 0.370
0.628 0.511 0.241
0.128 0.989 0.759
0.872 0.011 0.241
0.372 0.489 0.759

---

Rb5SiO4 | the Alexandria database | PBE | optimized geometry; V = 490.14 Å³ per cell; density of states at the Fermi level = 3.5 states/eV/cell; ΔE_f (raw) = -1.60 eV/atom; raw total energy = -92.19 eV/cell
1.0
6.460 0.000 0.000
0.000 9.625 0.000
0.000 0.000 7.882
Rb O Si
10 8 2
Direct
0.748 0.182 0.242
0.234 0.000 0.500
0.252 0.682 0.742
0.252 0.682 0.258
0.766 0.500 0.000
0.252 0.318 0.742
0.748 0.818 0.758
0.748 0.818 0.242
0.748 0.182 0.758
0.252 0.318 0.258
0.076 0.143 0.000
0.624 0.500 0.325
0.376 0.000 0.175
0.924 0.643 0.500
0.076 0.857 0.000
0.924 0.357 0.500
0.624 0.500 0.675
0.376 0.000 0.825
0.226 0.000 0.000
0.774 0.500 0.500

---

Rb4SiO4 | the Alexandria database | PBE | optimized geometry; energy above the most stable polymorph in this dataset = 33 meV/atom; V = 363.85 Å³ per cell; density of states at the Fermi level = 0.0 states/eV/cell; ΔE_f (raw) = -1.91 eV/atom; raw total energy = -92.62 eV/cell
1.0
-5.806 -0.495 -1.714
1.237 -7.355 -2.068
-1.907 -2.326 7.132
Si O Rb
2 8 8
Direct
0.500 0.500 0.500
0.000 0.000 0.000
0.840 0.823 0.000
0.340 0.500 0.323
0.160 0.000 0.823
0.340 0.500 0.677
0.160 0.000 0.177
0.840 0.177 0.000
0.660 0.677 0.500
0.660 0.323 0.500
0.626 0.000 0.283
0.126 0.217 0.500
0.626 0.000 0.717
0.374 0.717 0.000
0.874 0.500 0.783
0.874 0.500 0.217
0.126 0.783 0.500
0.374 0.283 0.000

---

Rb4SiO4 | the Alexandria database | PBE | optimized geometry; energy above the most stable polymorph in this dataset = 404 meV/atom; V = 196.23 Å³ per cell; density of states at the Fermi level = 0.0 states/eV/cell; ΔE_f (raw) = -1.54 eV/atom; raw total energy = -42.97 eV/cell
1.0
-3.841 0.338 3.917
0.792 -4.204 4.995
1.383 4.223 4.848
O Rb Si
4 4 1
Direct
0.802 0.256 0.140
0.198 0.744 0.860
0.058 0.140 0.744
0.942 0.860 0.256
0.383 0.822 0.413
0.617 0.178 0.587
0.795 0.587 0.822
0.205 0.413 0.178
0.000 0.000 0.000

---

Rb3SiO | the Alexandria database | PBE | optimized geometry; energy above the most stable polymorph in this dataset = 0 meV/atom; V = 182.02 Å³ per cell; density of states at the Fermi level = 2.3 states/eV/cell; ΔE_f (raw) = -0.17 eV/atom; raw total energy = -14.13 eV/cell
1.0
5.667 0.000 0.000
0.000 5.667 0.000
0.000 0.000 5.667
Si Rb O
1 3 1
Direct
0.500 0.500 0.500
0.000 0.500 0.000
0.000 0.000 0.500
0.500 0.000 0.000
0.000 0.000 0.000

---

Rb2SmSi2O6 | the Alexandria database | PBE | optimized geometry; V = 188.92 Å³ per cell; ΔE_f (raw) = -2.52 eV/atom; raw total energy = -74.97 eV/cell
1.0
-3.572 -4.421 1.948
5.965 -0.519 0.495
-3.014 4.408 4.477
O Sm Rb Si
6 1 2 2
Direct
0.215 0.973 0.730
0.243 0.485 0.271
0.757 0.515 0.729
0.758 0.973 0.730
0.242 0.027 0.270
0.785 0.027 0.270
0.500 0.000 0.500
0.717 0.434 0.152
0.283 0.566 0.848
0.928 0.856 0.784
0.072 0.144 0.216